Here is an optimized crystal structure of HgAsRu3 from Alexandria. Energies are from PBE.

Cell and atoms, written as POSCAR:
```
HgAsRu3
1.0
4.9696 0.0000 0.0000
0.0000 4.9696 0.0000
0.0000 0.0000 4.9696
Ru As Hg
3 1 1
Cartesian
0.0000 0.0000 2.4848
0.0000 2.4848 0.0000
2.4848 0.0000 0.0000
2.4848 2.4848 2.4848
0.0000 0.0000 0.0000
```

Results
ΔE_f: 2.347 eV per atom
M_tot: 6.56 μB per cell
SG: Pm-3m, No. 221
Total energy: -21.0 eV for the cell shown

***

Here is an optimized crystal structure of Nd2AgPdO5 from Alexandria. Energies are from PBE.

Cell and atoms, written as POSCAR:
```
Nd2AgPdO5
1.0
5.7833 0.0000 0.0000
0.0000 6.8427 0.0000
0.0000 0.0000 6.8427
O Nd Ag Pd
10 4 2 2
Cartesian
1.4746 2.4930 0.9283
4.3087 0.9283 4.3496
1.4746 4.3496 5.9143
4.3087 2.4930 0.9283
2.8916 0.0000 0.0000
4.3087 5.9143 2.4930
2.8916 3.4213 3.4213
1.4746 5.9143 2.4930
4.3087 4.3496 5.9143
1.4746 0.9283 4.3496
2.8916 1.1964 2.2250
2.8916 5.6463 4.6177
2.8916 4.6177 1.1964
2.8916 2.2250 5.6463
0.0000 0.0000 0.0000
0.0000 3.4213 3.4213
0.0000 3.4213 0.0000
0.0000 0.0000 3.4213
```

Results
M_tot: 2.04 μB per cell
SG: P4/mbm, No. 127
Total energy: -118.0 eV for the cell shown
ΔE_f (raw): -16.6 eV per formula unit

***

Here is an optimized crystal structure of TlTePtPb2 from Alexandria. Energies are from PBE.

Cell and atoms, written as POSCAR:
```
TlTePtPb2
1.0
-2.1512 4.8591 1.2661
1.1483 -0.8648 5.2702
4.7724 2.2860 -0.6647
Pb Tl Pt Te
2 1 1 1
Cartesian
0.5742 -0.4324 2.6351
-1.0756 2.4296 0.6330
2.3862 1.1430 -0.3324
0.0000 0.0000 0.0000
1.8848 3.1401 2.9358
```

Results
M_tot: 0.00 μB per cell
SG: P4/mmm, No. 123
Total energy: -19.5 eV for the cell shown
ΔE_f (raw): -0.6 eV per formula unit

***

Here is an optimized crystal structure of LaHo2Pt from Alexandria. Energies are from PBE.

Cell and atoms, written as POSCAR:
```
LaHo2Pt
1.0
3.5501 0.0000 0.0000
0.0000 3.5501 0.0000
0.0000 0.0000 8.8584
Pt Ho La
1 2 1
Cartesian
1.7751 1.7751 0.0000
0.0000 0.0000 7.2343
0.0000 0.0000 1.6241
1.7751 1.7751 4.4292
```

Results
ΔE_f: -0.626 eV per atom
M_tot: 0.00 μB per cell
SG: P4/mmm, No. 123
Total energy: -22.6 eV for the cell shown

***

Here is an optimized crystal structure of SnPCS2 from Alexandria. Energies are from PBE.

Cell and atoms, written as POSCAR:
```
SnPCS2
1.0
-0.9584 -4.7535 1.2111
3.0907 -1.5434 -3.6120
3.9418 0.0583 3.3480
Sn C S P
1 1 2 1
Cartesian
0.0000 0.0000 0.0000
3.0370 -3.1193 0.4736
1.5454 -0.7717 -1.8060
-0.4792 -2.3768 0.6056
1.9709 0.0291 1.6740
```

Results
M_tot: 0.23 μB per cell
SG: P4/mmm, No. 123
Total energy: -16.4 eV for the cell shown
ΔE_f (raw): 10.5 eV per formula unit

***

Here is an optimized crystal structure of LiNiS from Alexandria. Energies are from PBE.

Cell and atoms, written as POSCAR:
```
LiNiS
1.0
3.1908 0.0000 0.0000
0.0000 3.1908 0.0000
-1.5954 -1.5954 4.2846
Ni S Li
1 1 1
Cartesian
0.0000 0.0000 2.3937
1.5954 1.5954 1.8965
1.5954 1.5954 4.2790
```

Results
M_tot: 0.17 μB per cell
SG: I4mm, No. 107
Total energy: -13.1 eV for the cell shown
ΔE_f (raw): -1.2 eV per formula unit

***

Here is an optimized crystal structure of Mg2Ag4Au from Alexandria. Energies are from PBE.

Cell and atoms, written as POSCAR:
```
Mg2Ag4Au
1.0
7.0666 -0.0041 0.0071
-2.3583 6.6614 -0.0071
-2.3500 -3.3316 5.7718
Mg Ag Au
4 8 2
Cartesian
-1.1632 3.3195 4.3097
0.0118 3.7640 0.7188
1.1674 0.3957 3.6083
4.7006 -0.8276 2.9069
2.9642 -1.2292 5.0506
2.5305 4.8661 0.2575
3.7184 1.4967 4.0919
-2.1732 4.8684 2.1813
1.3555 3.1677 3.1246
-0.9634 1.5485 2.1660
2.5699 -0.1554 1.1872
-0.5690 -1.2597 5.0282
0.0000 0.0000 0.0000
3.5333 2.4948 1.4447
```

Results
ΔE_f: -0.043 eV per atom
M_tot: 0.00 μB per cell
SG: I-42d, No. 122
Total energy: -36.3 eV for the cell shown

***

Here is an optimized crystal structure of ZnIn3Pd3 from Alexandria. Energies are from PBE.

Cell and atoms, written as POSCAR:
```
ZnIn3Pd3
1.0
-1.0789 -1.3697 -5.2743
4.9755 2.5904 0.3040
0.0938 -4.6054 3.1049
In Pd Zn
3 3 1
Cartesian
-0.5214 -0.6754 -2.6354
0.0648 -2.2928 1.5532
2.0136 -1.6834 -0.9318
-0.4744 -2.9780 -1.0836
1.9664 0.6198 -2.4841
2.5528 -0.9980 1.7056
2.5033 1.3033 0.1529
```

Results
ΔE_f: -0.409 eV per atom
M_tot: 0.00 μB per cell
SG: R-3m, No. 166
Total energy: -27.9 eV for the cell shown

***

The lowest total energy belongs to which entry?
Nd2AgPdO5